NdDy3Sb3 | GGA-PBE | relaxed

Cell: 9.1058 9.1058 18.4371 Å, 90.00 90.00 120.00°
Space group R-3 (No. 148, hexagonal axes)
Unique sites:
1 Nd 0.0000 0.0000 0.1658 [6 per cell]
2 Dy 0.0025 0.2676 0.5849 [18 per cell]
3 Sb 0.0038 0.3814 0.4177 [18 per cell]

Results
ΔE_f (raw): -87.0 kJ per mole of atoms
excess energy over the best structure of this formula in the dataset: 69.1 kJ/mol of formula units
crystal system: trigonal